No. 1
GGA-PBE Ti4AsH, optimized geometry; energy = -82.3 eV per cell; symmetry = P2_1/c (14); ρ = 5.1 g cm⁻³
1.0
-2.909 4.572 0.769
-4.938 -2.937 -1.219
-0.434 -1.452 5.258
Ti As H
8 2 2
Direct
0.900 0.623 0.180
0.600 0.123 0.820
0.341 0.330 0.386
0.159 0.830 0.614
0.100 0.377 0.820
0.400 0.877 0.180
0.659 0.670 0.614
0.841 0.170 0.386
0.000 0.000 0.000
0.500 0.500 0.000
0.500 0.000 0.500
0.000 0.500 0.500

No. 2
GGA-PBE Ti2AsH, optimized geometry; energy above the lowest structure with this stoichiometry = 11.554 kcal/mol of atoms; symmetry = Fm-3m (225); ρ = 5.2 g cm⁻³
1.0
1.298 -3.675 1.698
-2.436 -3.469 -0.324
1.191 -3.206 -2.526
H As Ti
1 1 2
Direct
0.000 0.000 0.000
0.500 0.500 0.500
0.250 0.250 0.250
0.750 0.750 0.750

No. 3
GGA-PBE Ti2AsH2, optimized geometry; energy above the lowest structure with this stoichiometry = 0.000 kcal/mol of atoms; symmetry = I4/mmm (139); ρ = 5.3 g cm⁻³
1.0
3.180 0.000 0.000
0.000 3.180 0.000
1.590 1.590 5.310
H As Ti
2 1 2
Direct
0.750 0.250 0.500
0.250 0.750 0.500
0.000 0.000 0.000
0.366 0.366 0.268
0.634 0.634 0.732